Entry from Alexandria via LeMat-Bulk: a relaxed structure of K2RbLuV2O8 (PBE+U).

The structure in POSCAR format:
```
K2RbLuV2O8
1.0
-0.010 2.999 5.149
-1.524 -5.760 -0.096
7.401 -1.978 1.166
K Rb Lu V O
2 1 1 2 8
Direct
0.333 0.667 0.696
0.667 0.333 0.304
0.000 0.000 0.000
0.000 0.000 0.500
0.333 0.667 0.254
0.667 0.333 0.746
0.333 0.667 0.036
0.667 0.333 0.964
0.173 0.827 0.332
0.827 0.173 0.668
0.173 0.346 0.332
0.827 0.654 0.668
0.654 0.827 0.332
0.346 0.173 0.668
```

Density of states at the Fermi level, states/eV/f.u.: 0.00
Total moment, μB/atom: 0.000
Electronic total energy, eV per atom: -6.80